1.
The following is a DFT calculation (GGA-PBE) of a relaxed UV2Sn crystal.

a = 4.6287 Å, b = 4.6287 Å, c = 4.6287 Å
α = 60.00°, β = 60.00°, γ = 60.00°
Each line ends with the local moment (μB).
Fractional positions:
U (0.5000, 0.5000, 0.5000)  0.84
Sn (0.0000, 0.0000, 0.0000)  -0.01
V (0.2500, 0.2500, 0.2500)  -0.02
V (0.7500, 0.7500, 0.7500)  -0.02

Results
E_form   0.14 eV/atom
D(E_F)   1.832 states/eV per atom
Crystal system   cubic
Calculated density   10.861 g/cm3
Relative energy among the computed polymorphs   67 meV/atom

---

2.
The following is a DFT calculation (GGA-PBE) of a relaxed Tm4ZrAl5 crystal.

a = 3.5570 Å, b = 3.5570 Å, c = 17.2132 Å
α = 90.00°, β = 90.00°, γ = 90.00°
Fractional positions:
Tm (0.0000, 0.0000, 0.1924)
Tm (0.0000, 0.0000, 0.3968)
Tm (0.0000, 0.0000, 0.6032)
Tm (0.0000, 0.0000, 0.8076)
Zr (0.0000, 0.0000, 0.0000)
Al (0.5000, 0.5000, 0.0862)
Al (0.5000, 0.5000, 0.2943)
Al (0.5000, 0.5000, 0.5000)
Al (0.5000, 0.5000, 0.7057)
Al (0.5000, 0.5000, 0.9138)

Results
E_form   -0.37 eV/atom
D(E_F)   0.671 states/eV per atom
Crystal system   tetragonal
Calculated density   6.877 g/cm3

---

3.
The following is a DFT calculation (GGA-PBE) of a relaxed PmTeF crystal.

a = 6.8933 Å, b = 7.9987 Å, c = 6.7589 Å
α = 123.68°, β = 90.00°, γ = 90.00°
Fractional positions:
Pm (0.1852, 0.2669, 0.3479)
Pm (0.3148, 0.7669, 0.3479)
Pm (0.8148, 0.7331, 0.6521)
Pm (0.6852, 0.2331, 0.6521)
Te (0.5822, 0.3824, 0.1870)
Te (0.4178, 0.6176, 0.8130)
Te (0.9178, 0.8824, 0.1870)
Te (0.0822, 0.1176, 0.8130)
F (0.5839, 0.9248, 0.6085)
F (0.4161, 0.0752, 0.3915)
F (0.0839, 0.5752, 0.3915)
F (0.9161, 0.4248, 0.6085)

Results
Formation energy without anion corrections   -2.59 eV per atom
D(E_F)   0.000 states/eV per atom
Crystal system   monoclinic
Calculated density   6.245 g/cm3
Relative energy among the computed polymorphs   27 meV/atom

---

4.
The following is a DFT calculation (GGA-PBE) of a relaxed Na2Sr3Ag crystal.

a = 6.2672 Å, b = 8.3088 Å, c = 10.2583 Å
α = 91.70°, β = 107.44°, γ = 83.94°
Fractional positions:
Na (0.2912, 0.2894, 0.6029)
Na (0.3103, 0.7056, 0.5997)
Na (0.6897, 0.2944, 0.4003)
Na (0.7088, 0.7106, 0.3971)
Sr (0.4461, 0.7635, 0.9980)
Sr (0.5539, 0.2365, 0.0020)
Sr (0.8517, 0.9993, 0.7044)
Sr (0.1021, 0.4999, 0.2050)
Sr (0.8979, 0.5001, 0.7950)
Sr (0.1483, 0.0007, 0.2956)
Ag (0.0652, 0.1672, 0.9991)
Ag (0.9348, 0.8328, 0.0009)

Results
E_form   -0.08 eV/atom
D(E_F)   0.573 states/eV per atom
Crystal system   triclinic
Calculated density   2.731 g/cm3

---

5.
The following is a DFT calculation (GGA-PBE) of a relaxed Be3TeBr crystal.

a = 4.9014 Å, b = 4.9014 Å, c = 4.9014 Å
α = 90.00°, β = 90.00°, γ = 90.00°
Fractional positions:
Be (0.0000, 0.5000, 0.0000)
Be (0.0000, 0.0000, 0.5000)
Be (0.5000, 0.0000, 0.0000)
Te (0.0000, 0.0000, 0.0000)
Br (0.5000, 0.5000, 0.5000)

Results
Formation energy without anion corrections   1.10 eV per atom
D(E_F)   0.850 states/eV per atom
Crystal system   cubic
Calculated density   3.308 g/cm3
Relative energy among the computed polymorphs   0 meV/atom

---

6.
The following is a DFT calculation (GGA-PBE) of a relaxed FeReSi2 crystal.

a = 4.5821 Å, b = 4.5821 Å, c = 4.5821 Å
α = 139.85°, β = 123.09°, γ = 71.93°
Each line ends with the local moment (μB).
Fractional positions:
Fe (0.7500, 0.2500, 0.5000)  1.61
Re (0.2500, 0.7500, 0.5000)  0.13
Si (0.9863, 0.9863, 0.0000)  -0.02
Si (0.5137, 0.5137, 0.0000)  -0.02

Results
Formation energy without anion corrections   -0.05 eV per atom
D(E_F)   0.720 states/eV per atom
Crystal system   orthorhombic
Calculated density   9.721 g/cm3

---

7.
The following is a DFT calculation (GGA-PBE) of a relaxed TaCd2NF crystal.

a = 4.1818 Å, b = 5.5809 Å, c = 4.1818 Å
α = 90.00°, β = 90.00°, γ = 90.00°
Each line ends with the local moment (μB).
Fractional positions:
N (0.0000, 0.0000, 0.0000)  0.17
F (0.0000, 0.5000, 0.0000)  0.03
Cd (0.0000, 0.0000, 0.5000)  0.01
Cd (0.5000, 0.0000, 0.0000)  0.03
Ta (0.5000, 0.5000, 0.5000)  2.04

Results
Formation energy without anion corrections   1.05 eV per atom
D(E_F)   0.647 states/eV per atom
Crystal system   tetragonal
Calculated density   7.465 g/cm3

---

8.
The following is a DFT calculation (GGA-PBE) of a relaxed Mn2AlHAu crystal.

a = 3.7825 Å, b = 3.7825 Å, c = 4.1300 Å
α = 90.00°, β = 90.00°, γ = 90.00°
Each line ends with the local moment (μB).
Fractional positions:
H (0.0000, 0.0000, 0.0000)  -0.03
Mn (0.0000, 0.5000, 0.0000)  2.72
Mn (0.5000, 0.0000, 0.0000)  2.72
Au (0.5000, 0.5000, 0.5000)  0.00
Al (0.0000, 0.0000, 0.5000)  -0.07

Results
D(E_F)   0.569 states/eV per atom
Crystal system   tetragonal
Calculated density   9.410 g/cm3
Relative energy among the computed polymorphs   0 meV/atom

---

9.
The following is a DFT calculation (GGA-PBE) of a relaxed Hf12In3Bi crystal.

a = 4.4312 Å, b = 4.4312 Å, c = 17.8801 Å
α = 90.00°, β = 90.00°, γ = 90.00°
Fractional positions:
Hf (0.5000, 0.5000, 0.0000)
Hf (0.5000, 0.5000, 0.2537)
Hf (0.5000, 0.5000, 0.5000)
Hf (0.5000, 0.5000, 0.7463)
Hf (0.5000, 0.0000, 0.1300)
Hf (0.5000, 0.0000, 0.3765)
Hf (0.5000, 0.0000, 0.6235)
Hf (0.5000, 0.0000, 0.8700)
Hf (0.0000, 0.5000, 0.1300)
Hf (0.0000, 0.5000, 0.3765)
Hf (0.0000, 0.5000, 0.6235)
Hf (0.0000, 0.5000, 0.8700)
In (0.0000, 0.0000, 0.2516)
In (0.0000, 0.0000, 0.5000)
In (0.0000, 0.0000, 0.7484)
Bi (0.0000, 0.0000, 0.0000)

Results
E_form   -0.11 eV/atom
D(E_F)   0.745 states/eV per atom
Crystal system   tetragonal
Calculated density   12.748 g/cm3

---

10.
The following is a DFT calculation (GGA-PBE) of a relaxed Li2UFeN4 crystal.

a = 3.2099 Å, b = 5.7117 Å, c = 9.4742 Å
α = 90.00°, β = 90.00°, γ = 106.32°
Each line ends with the local moment (μB).
Fractional positions:
Li (0.3935, 0.7870, 0.5416)  0.00
Li (0.6065, 0.2130, 0.0416)  0.00
Li (0.6065, 0.2130, 0.4584)  0.00
Li (0.3935, 0.7870, 0.9584)  0.00
U (0.0656, 0.1313, 0.7500)  0.25
U (0.9344, 0.8687, 0.2500)  0.25
Fe (0.8041, 0.6082, 0.7500)  0.70
Fe (0.1959, 0.3918, 0.2500)  0.70
N (0.3125, 0.6249, 0.1299)  0.01
N (0.6875, 0.3751, 0.6299)  0.01
N (0.6875, 0.3751, 0.8701)  0.01
N (0.3125, 0.6249, 0.3701)  0.01
N (0.0000, 0.0000, 0.5000)  0.04
N (0.0000, 0.0000, 0.0000)  0.04
N (0.4024, 0.8048, 0.7500)  0.02
N (0.5976, 0.1952, 0.2500)  0.02

Results
Formation energy without anion corrections   -0.34 eV per atom
D(E_F)   0.603 states/eV per atom
Crystal system   orthorhombic
Calculated density   7.247 g/cm3

---

11.
The following is a DFT calculation (GGA-PBE) of a relaxed Y2NiOs crystal.

a = 3.3324 Å, b = 3.3324 Å, c = 7.8108 Å
α = 90.00°, β = 90.00°, γ = 90.00°
Fractional positions:
Ni (0.0000, 0.0000, 0.5637)
Os (0.5000, 0.5000, 0.6824)
Y (0.0000, 0.0000, 0.9259)
Y (0.5000, 0.5000, 0.3280)

Results
E_form   0.06 eV/atom
D(E_F)   0.853 states/eV per atom
Crystal system   tetragonal
Calculated density   8.170 g/cm3

---

12.
The following is a DFT calculation (GGA-PBE) of a relaxed Sr3Al5Se12 crystal.

a = 13.9880 Å, b = 13.9880 Å, c = 13.9880 Å
α = 109.47°, β = 109.47°, γ = 109.47°
Fractional positions:
Sr (0.7500, 0.3750, 0.1250)
Sr (0.8750, 0.7500, 0.1250)
Sr (0.3750, 0.7500, 0.6250)
Sr (0.2500, 0.1250, 0.3750)
Sr (0.8750, 0.1250, 0.2500)
Sr (0.3750, 0.6250, 0.2500)
Sr (0.6250, 0.3750, 0.7500)
Sr (0.1250, 0.8750, 0.7500)
Sr (0.7500, 0.8750, 0.6250)
Sr (0.6250, 0.2500, 0.3750)
Sr (0.1250, 0.2500, 0.8750)
Sr (0.2500, 0.6250, 0.8750)
Al (0.1250, 0.3750, 0.2500)
Al (0.0000, 0.5000, 0.0000)
Al (0.0000, 0.0000, 0.0000)
Al (0.3750, 0.2500, 0.1250)
Al (0.5000, 0.0000, 0.5000)
Al (0.5000, 0.5000, 0.0000)
Al (0.1250, 0.7500, 0.3750)
Al (0.7500, 0.1250, 0.8750)
Al (0.7500, 0.6250, 0.3750)
Al (0.3750, 0.1250, 0.7500)
Al (0.6250, 0.8750, 0.2500)
Al (0.5000, 0.5000, 0.5000)
Al (0.5000, 0.0000, 0.0000)
Al (0.0000, 0.0000, 0.5000)
Al (0.2500, 0.3750, 0.6250)
Al (0.2500, 0.8750, 0.1250)
Al (0.0000, 0.5000, 0.5000)
Al (0.8750, 0.2500, 0.6250)
Al (0.6250, 0.7500, 0.8750)
Al (0.8750, 0.6250, 0.7500)
Se (0.7021, 0.1121, 0.0230)
Se (0.3208, 0.5230, 0.4109)
Se (0.9770, 0.3879, 0.2979)
Se (0.5230, 0.2021, 0.1121)
Se (0.5901, 0.7021, 0.6792)
Se (0.9770, 0.5891, 0.1792)
Se (0.3208, 0.7979, 0.4099)
Se (0.0891, 0.9099, 0.1121)
Se (0.5891, 0.9770, 0.6792)
Se (0.7021, 0.5901, 0.1792)
Se (0.7979, 0.4770, 0.3879)
Se (0.8208, 0.9109, 0.0230)
Se (0.1121, 0.7021, 0.5230)
Se (0.3879, 0.4109, 0.0901)
Se (0.0901, 0.9109, 0.3879)
Se (0.4099, 0.1121, 0.5891)
Se (0.0901, 0.1792, 0.2021)
Se (0.4770, 0.6792, 0.0891)
Se (0.8208, 0.9099, 0.2979)
Se (0.1121, 0.4099, 0.0891)
Se (0.3879, 0.9770, 0.7979)
Se (0.5891, 0.6121, 0.4099)
Se (0.9109, 0.8208, 0.5230)
Se (0.7979, 0.3208, 0.9099)
Se (0.4109, 0.3879, 0.5901)
Se (0.0891, 0.1792, 0.4770)
Se (0.2021, 0.6792, 0.0901)
Se (0.1792, 0.0901, 0.7021)
Se (0.6121, 0.0230, 0.2021)
Se (0.8879, 0.5901, 0.9109)
Se (0.5230, 0.3208, 0.9109)
Se (0.5901, 0.8879, 0.4109)
Se (0.9099, 0.8208, 0.7979)
Se (0.9099, 0.0891, 0.6121)
Se (0.8879, 0.2979, 0.4770)
Se (0.1792, 0.0891, 0.9770)
Se (0.6121, 0.5891, 0.9099)
Se (0.4109, 0.0230, 0.3208)
Se (0.2979, 0.4099, 0.8208)
Se (0.2021, 0.5230, 0.6121)
Se (0.9109, 0.0901, 0.8879)
Se (0.6792, 0.2021, 0.5901)
Se (0.4770, 0.7979, 0.8879)
Se (0.0230, 0.4109, 0.8208)
Se (0.4099, 0.2979, 0.3208)
Se (0.0230, 0.6121, 0.7021)
Se (0.6792, 0.4770, 0.5891)
Se (0.2979, 0.8879, 0.9770)

Results
Formation energy without anion corrections   -1.02 eV per atom
D(E_F)   0.898 states/eV per atom
Crystal system   cubic
Calculated density   4.241 g/cm3